Y3Mg3IrPt2: optimized geometry, PBE-GGA.

* final energy: -52.76 eV for the cell shown
* magnetic moment: 0.011 μB per cell

abc: 7.330 7.330 4.113
angles: 90.00 90.00 120.00
Fractional coordinates of all 9 atoms:
Ir  0.000  0.000  0.500
Mg  0.243  0.000  0.000
Mg  0.000  0.243  0.000
Mg  0.757  0.757  0.000
Pt  0.667  0.333  0.000
Pt  0.333  0.667  0.000
Y  0.595  0.000  0.500
Y  0.405  0.405  0.500
Y  0.000  0.595  0.500

---

Y3MgZn2Ir2Pt: optimized geometry, PBE-GGA.

* final energy: -54.25 eV for the cell shown
* magnetic moment: 0.000 μB per cell

abc: 3.967 7.231 7.231
angles: 120.08 90.00 90.00
Fractional coordinates of all 9 atoms:
Ir  0.000  0.667  0.335
Ir  0.000  0.335  0.667
Mg  0.000  0.757  0.757
Pt  0.500  0.004  0.004
Y  0.500  0.585  0.005
Y  0.500  0.402  0.402
Y  0.500  0.005  0.585
Zn  0.000  0.996  0.249
Zn  0.000  0.249  0.996

---

Y3Mg2ZnIr2Pt: optimized geometry, PBE-GGA.

* final energy: -54.53 eV for the cell shown
* magnetic moment: 0.006 μB per cell

abc: 4.008 7.283 7.283
angles: 120.08 90.00 90.00
Fractional coordinates of all 9 atoms:
Ir  0.500  0.667  0.333
Ir  0.500  0.333  0.667
Mg  0.500  0.998  0.753
Mg  0.500  0.753  0.998
Pt  0.000  0.003  0.003
Y  0.000  0.411  0.006
Y  0.000  0.006  0.411
Y  0.000  0.576  0.576
Zn  0.500  0.252  0.252